Here is a relaxed structure of BaLaY2Rh from Alexandria. Energies are from PBE.

Values from the calculation:
Space group ... P4/mmm
Raw total energy ... -5.695 eV/atom
D(E_F) ... 5.6 states/eV/f.u.
Calculated density ... 5.13 Mg/m³
Energy of formation from the pure elements ... -269 meV per atom

Cell lengths 5.668, 5.668, 5.611 Å; angles 90.00, 90.00, 90.00 degrees
Atoms (fractional coordinates):
La: 0.000 0.000 0.500
Y: 0.000 0.500 0.000
Y: 0.500 0.000 0.000
Rh: 0.000 0.000 0.000
Ba: 0.500 0.500 0.500



Here is a relaxed structure of CaLa3Pt from Alexandria. Energies are from PBE.

Values from the calculation:
Space group ... Pm-3m
Raw total energy ... -4.942 eV/atom
D(E_F) ... 11.0 states/eV/f.u.
Calculated density ... 5.52 Mg/m³
Energy of formation from the pure elements ... -377 meV per atom

Cell lengths 5.809, 5.809, 5.809 Å; angles 90.00, 90.00, 90.00 degrees
Atoms (fractional coordinates):
La: 0.500 0.000 0.000
La: 0.000 0.500 0.000
La: 0.000 0.000 0.500
Ca: 0.500 0.500 0.500
Pt: 0.000 0.000 0.000



Here is a relaxed structure of Dy8Te3PPt3 from Alexandria. Energies are from PBE.

Values from the calculation:
Space group ... C2/m
Raw total energy ... -5.837 eV/atom
D(E_F) ... 9.1 states/eV/f.u.
Raw formation energy ... -1.185 eV per atom
Calculated density ... 8.99 Mg/m³

Cell lengths 8.262, 8.270, 8.621 Å; angles 118.75, 89.99, 119.95 degrees
Atoms (fractional coordinates):
Te: 0.000 0.500 0.000
Te: 0.000 0.000 0.000
Te: 0.500 0.500 0.000
Dy: 0.263 0.526 0.289
Dy: 0.736 0.974 0.711
Dy: 0.237 0.974 0.711
Dy: 0.763 0.026 0.289
Dy: 0.763 0.525 0.289
Dy: 0.264 0.026 0.289
Dy: 0.737 0.474 0.711
Dy: 0.237 0.475 0.711
Pt: 0.500 0.000 0.500
Pt: 0.500 0.500 0.500
Pt: 0.000 0.500 0.500
P: 0.000 0.000 0.500



Here is a relaxed structure of TbEr2Sc5 from Alexandria. Energies are from PBE.

Values from the calculation:
Space group ... Fmm2
Raw total energy ... -5.657 eV/atom
D(E_F) ... 15.2 states/eV/f.u.
Calculated density ... 5.53 Mg/m³
Energy of formation from the pure elements ... 20 meV per atom

Cell lengths 6.841, 6.840, 6.331 Å; angles 105.64, 105.64, 120.06 degrees
Atoms (fractional coordinates):
Er: 0.733 0.313 0.490
Er: 0.243 0.823 0.510
Sc: 0.735 0.821 0.500
Sc: 0.320 0.732 0.000
Sc: 0.235 0.321 0.500
Sc: 0.317 0.239 0.000
Sc: 0.824 0.236 0.000
Tb: 0.818 0.738 0.000



Here is a relaxed structure of DyLuThIn from Alexandria. Energies are from PBE.

Values from the calculation:
Space group ... F-43m
Raw total energy ... -4.827 eV/atom
D(E_F) ... 7.3 states/eV/f.u.
Calculated density ... 10.02 Mg/m³
Energy of formation from the pure elements ... -7 meV per atom

Cell lengths 5.432, 5.432, 5.432 Å; angles 60.00, 60.00, 60.00 degrees
Atoms (fractional coordinates):
Dy: 0.000 0.000 0.000
Th: 0.250 0.250 0.250
Lu: 0.500 0.500 0.500
In: 0.750 0.750 0.750



Here is a relaxed structure of LaGeSb2C from Alexandria. Energies are from PBE.

Values from the calculation:
Space group ... P4/mmm
Raw total energy ... -3.379 eV/atom
D(E_F) ... 9.0 states/eV/f.u.
Raw formation energy ... 2.024 eV per atom
Calculated density ... 3.62 Mg/m³

Cell lengths 6.079, 5.799, 6.079 Å; angles 90.00, 90.00, 90.00 degrees
Atoms (fractional coordinates):
C: 0.500 0.500 0.500
Sb: 0.000 0.000 0.500
Sb: 0.500 0.000 0.000
La: 0.000 0.000 0.000
Ge: 0.000 0.500 0.000



Here is a relaxed structure of RbLa2CuO5 from Alexandria. Energies are from PBE.

Values from the calculation:
Space group ... I4/mcm
Raw total energy ... -6.629 eV/atom
D(E_F) ... 0.9 states/eV/f.u.
Raw formation energy ... -2.217 eV per atom
Calculated density ... 5.94 Mg/m³

Cell lengths 6.965, 6.965, 7.640 Å; angles 117.12, 117.12, 90.00 degrees
Atoms (fractional coordinates):
La: 0.180 0.320 0.000
La: 0.680 0.180 0.000
La: 0.820 0.680 0.000
La: 0.320 0.820 0.000
O: 0.243 0.002 0.744
O: 0.257 0.757 0.256
O: 0.502 0.743 0.744
O: 0.002 0.502 0.744
O: 0.757 0.998 0.256
O: 0.000 0.000 0.000
O: 0.998 0.498 0.256
O: 0.500 0.500 0.000
O: 0.498 0.257 0.256
O: 0.743 0.243 0.744
Cu: 0.750 0.250 0.500
Cu: 0.250 0.750 0.500
Rb: 0.750 0.750 0.500
Rb: 0.250 0.250 0.500



Here is a relaxed structure of Ca2CrPt from Alexandria. Energies are from PBE.

Values from the calculation:
Space group ... Amm2
Raw total energy ... -5.127 eV/atom
D(E_F) ... 2.2 states/eV/f.u.
Calculated density ... 5.29 Mg/m³
Energy of formation from the pure elements ... -210 meV per atom

Cell lengths 4.277, 4.348, 5.933 Å; angles 68.50, 90.00, 90.00 degrees
Atoms (fractional coordinates):
Ca: 0.000 0.983 0.910
Ca: 0.500 0.271 0.334
Pt: 0.500 0.560 0.754
Cr: 0.000 0.686 0.502